[1]
## BaCd2GaAg (PBE-GGA)

Data for an optimized crystal structure of BaCd2GaAg.

a b c (Å): 6.803 6.803 6.803
angles (deg): 139.32 139.32 58.89
Fractional coordinates of all 5 atoms:
Ag 0.391 0.391 0.000
Ba 0.002 0.002 0.000
Cd 0.746 0.246 0.500
Cd 0.246 0.746 0.500
Ga 0.616 0.616 0.000

Results
Theoretical density ... 6.76 Mg/m³
Calculated total energy ... -11.07 eV/f.u.


[2]
## BaCdAgGe2 (PBE-GGA)

Data for an optimized crystal structure of BaCdAgGe2.

a b c (Å): 6.572 6.572 6.572
angles (deg): 138.51 138.51 60.13
Fractional coordinates of all 5 atoms:
Ag 0.250 0.750 0.500
Ba 0.500 0.500 0.000
Cd 0.750 0.250 0.500
Ge 0.113 0.113 0.000
Ge 0.887 0.887 0.000

Results
Theoretical density ... 6.77 Mg/m³
Calculated total energy ... -16.72 eV/f.u.


[3]
## BaMgCd2Ag (PBE-GGA)

Data for an optimized crystal structure of BaMgCd2Ag.

a b c (Å): 7.135 7.135 7.135
angles (deg): 141.23 141.23 55.99
Fractional coordinates of all 5 atoms:
Ag 0.390 0.390 0.000
Ba 0.992 0.992 0.000
Cd 0.752 0.252 0.500
Cd 0.252 0.752 0.500
Mg 0.612 0.612 0.000

Results
Theoretical density ... 5.81 Mg/m³
Calculated total energy ... -9.13 eV/f.u.


[4]
## BaMgCdAg2 (PBE-GGA)

Data for an optimized crystal structure of BaMgCdAg2.

a b c (Å): 6.499 6.499 6.499
angles (deg): 134.66 134.66 66.06
Fractional coordinates of all 5 atoms:
Ag 0.753 0.253 0.500
Ag 0.253 0.753 0.500
Ba 0.002 0.002 0.000
Cd 0.630 0.630 0.000
Mg 0.362 0.362 0.000

Results
Theoretical density ... 5.95 Mg/m³
Calculated total energy ... -11.09 eV/f.u.


[5]
## BaCdAgP2 (PBE-GGA)

Data for an optimized crystal structure of BaCdAgP2.

a b c (Å): 9.441 9.441 6.417
angles (deg): 90.00 90.00 153.98
Fractional coordinates of all 10 atoms:
Ag 0.997 0.003 0.244
Ag 0.003 0.997 0.744
Ba 0.181 0.819 0.466
Ba 0.819 0.181 0.966
Cd 0.386 0.614 0.465
Cd 0.614 0.386 0.965
P 0.809 0.191 0.465
P 0.528 0.472 0.494
P 0.191 0.809 0.965
P 0.472 0.528 0.994

Results
Theoretical density ... 5.55 Mg/m³
Calculated total energy ... -18.22 eV/f.u.


[6]
## BaCd2AgPt (PBE-GGA)

Data for an optimized crystal structure of BaCd2AgPt.

a b c (Å): 7.020 7.020 7.020
angles (deg): 142.31 142.31 54.37
Fractional coordinates of all 5 atoms:
Ag 0.391 0.391 0.000
Ba 0.009 0.009 0.000
Cd 0.745 0.245 0.500
Cd 0.245 0.745 0.500
Pt 0.609 0.609 0.000

Results
M_tot ... 0.0003 μB/atom
Theoretical density ... 8.60 Mg/m³
Calculated total energy ... -14.62 eV/f.u.